Arrangement A

LaV3F | GGA+U | relaxed

Lattice parameters (Å, degrees): 4.746 4.746 4.746 90.00 90.00 90.00
Space group Pm-3m (No. 221)
One atom of each set of equivalent atoms:
La1 0.000 0.000 0.000
V1 0.000 0.500 0.500
F1 0.500 0.500 0.500

Output
For the mass density, the calculation gives 4.826 g cm⁻³.

=====

Arrangement B

LaV3F | GGA+U | relaxed

Lattice parameters (Å, degrees): 4.633 4.633 4.633 90.00 90.00 90.00
Space group Pm-3m (No. 221)
One atom of each set of equivalent atoms:
La1 0.000 0.000 0.000
V1 0.000 0.000 0.500
F1 0.500 0.500 0.500

Output
For the mass density, the calculation gives 5.187 g cm⁻³.

=====

Energy relative to the most stable one, in kJ/mol of atoms: arrangement A 0.0; arrangement B 217.2

=====

Arrangement A

La2WF | GGA+U | relaxed

Lattice parameters (Å, degrees): 7.549 7.549 7.751 90.00 90.00 90.00
Space group I-42d (No. 122)
One atom of each set of equivalent atoms:
La1 0.169 0.250 0.125
W1 0.000 0.000 0.500
F1 0.000 0.000 0.000

Output
For the mass density, the calculation gives 7.227 g cm⁻³.

=====

Arrangement B

La2WF | GGA+U | relaxed

Lattice parameters (Å, degrees): 7.490 7.490 7.490 90.00 90.00 90.00
Space group Fm-3m (No. 225)
One atom of each set of equivalent atoms:
La1 0.250 0.250 0.250
W1 0.000 0.000 0.000
F1 0.000 0.000 0.500

Output
For the mass density, the calculation gives 7.597 g cm⁻³.

=====

Energy relative to the most stable one, in kJ/mol of atoms: arrangement A 0.0; arrangement B 41.5